The following is a DFT calculation (PBE-GGA) of crystalline LiNiMo at its relaxed geometry.

a = 2.5396 Å, b = 3.8964 Å, c = 7.8141 Å
α = 90.00°, β = 90.00°, γ = 90.00°
Last column: nearest neighbours and their distance in Å.
Space group Imm2 (No. 44)
Asymmetric unit:
Li  0.0000  0.0000  0.0000 x2  5 Mo 2.50-2.72, 2 Li 2.54, 5 Ni 2.63-2.65
Ni  0.0000  0.0000  0.3366 x2  2 Ni 2.54, 5 Mo 2.63-2.68, 5 Li 2.63-2.65
Mo  0.0000  0.0000  0.6798 x2  5 Li 2.50-2.72, 2 Mo 2.54, 5 Ni 2.63-2.68

Computed properties:
E_form (eV/atom): 0.27
Final energy (eV/cell): -35.5
Energy above the lowest structure with this stoichiometry (meV/atom): 71.1